# Fe2PtF

Fe2PtF after structural relaxation (PBE+U, Alexandria).

## Properties
ρ = 9.441 g/cm3
calculated total energy = -19.16 eV per cell

a b c (Å): 4.3273 4.3273 4.3273
angles (deg): 60.00 60.00 60.00
With the nearest neighbours (Å) after each atom.
Element x y z (fractional)
1 Fe 0.2500 0.2500 0.2500  4 Pt 2.65, 4 F 2.65
2 Fe 0.7500 0.7500 0.7500  4 Pt 2.65, 4 F 2.65
3 F 0.0000 0.0000 0.0000  8 Fe 2.65
4 Pt 0.5000 0.5000 0.5000  8 Fe 2.65


# FePt3F

FePt3F after structural relaxation (PBE+U, Alexandria).

## Properties
ρ = 13.271 g/cm3
calculated total energy = -21.43 eV per cell

a b c (Å): 4.3550 4.3550 4.3550
angles (deg): 90.00 90.00 90.00
With the nearest neighbours (Å) after each atom.
Element x y z (fractional)
1 Fe 0.5000 0.5000 0.5000  12 Pt 3.08
2 Pt 0.0000 0.0000 0.5000  2 F 2.18
3 Pt 0.5000 0.0000 0.0000  2 F 2.18
4 Pt 0.0000 0.5000 0.0000  2 F 2.18
5 F 0.0000 0.0000 0.0000  6 Pt 2.18


# Rb2FePtF6

Rb2FePtF6 after structural relaxation (PBE+U, Alexandria).

## Properties
ρ = 5.073 g/cm3
calculated total energy = -45.45 eV per cell

a b c (Å): 6.5468 6.5468 6.1786
angles (deg): 58.01 58.01 90.00
With the nearest neighbours (Å) after each atom.
Element x y z (fractional)
1 F 0.2903 0.7097 0.0000  1 Fe 1.94
2 F 0.7097 0.2903 0.0000  1 Fe 1.94
3 F 0.7468 0.7468 0.5065  1 Fe 2.02, 1 Pt 2.07
4 F 0.2532 0.2532 0.4935  1 Fe 2.02, 1 Pt 2.07
5 F 0.7097 0.7097 0.0000  1 Fe 1.94
6 F 0.2903 0.2903 0.0000  1 Fe 1.94
7 Pt 0.0000 0.0000 0.0000  2 F 2.07
8 Fe 0.5000 0.5000 0.0000  6 F 1.94-2.02
9 Rb 0.2500 0.7500 0.5000  12 F 3.11-3.27
10 Rb 0.7500 0.2500 0.5000  12 F 3.11-3.27


# FeSnPt2F

FeSnPt2F after structural relaxation (PBE+U, Alexandria).

## Properties
ρ = 6.094 g/cm3
calculated total energy = -18.98 eV per cell

a b c (Å): 5.1656 5.9603 5.1656
angles (deg): 90.00 90.00 90.00
With the nearest neighbours (Å) after each atom.
Element x y z (fractional)
1 Pt 0.5000 0.0000 0.0000  2 Sn 2.58
2 Pt 0.0000 0.0000 0.5000  2 Sn 2.58
3 F 0.5000 0.5000 0.5000  4 Fe 3.65, 8 Pt 3.94
4 Sn 0.0000 0.0000 0.0000  4 Pt 2.58
5 Fe 0.0000 0.5000 0.0000  2 Sn 2.98


# Fe2TcPtF

Fe2TcPtF after structural relaxation (PBE+U, Alexandria).

## Properties
ρ = 7.107 g/cm3
calculated total energy = -24.26 eV per cell

a b c (Å): 4.9306 4.0726 4.9306
angles (deg): 90.00 90.00 90.00
With the nearest neighbours (Å) after each atom.
Element x y z (fractional)
1 Fe 0.0000 0.0000 0.5000  2 Pt 2.47
2 Fe 0.5000 0.0000 0.0000  2 Pt 2.47
3 Tc 0.5000 0.5000 0.5000  8 Fe 3.20, 4 F 3.49
4 Pt 0.0000 0.0000 0.0000  2 F 2.04
5 F 0.0000 0.5000 0.0000  2 Pt 2.04


# FeTc2PtF

FeTc2PtF after structural relaxation (PBE+U, Alexandria).

## Properties
ρ = 7.597 g/cm3
calculated total energy = -25.93 eV per cell

a b c (Å): 4.7362 4.5399 4.7362
angles (deg): 90.00 90.00 90.00
With the nearest neighbours (Å) after each atom.
Element x y z (fractional)
1 Pt 0.0000 0.5000 0.0000  2 Fe 2.27
2 Tc 0.0000 0.0000 0.5000  2 Fe 2.37
3 Tc 0.5000 0.0000 0.0000  2 Fe 2.37
4 F 0.5000 0.5000 0.5000  8 Tc 3.28, 4 Pt 3.35
5 Fe 0.0000 0.0000 0.0000  2 Pt 2.27, 4 Tc 2.37


# FeTePtF2

FeTePtF2 after structural relaxation (PBE+U, Alexandria).

## Properties
ρ = 7.103 g/cm3
calculated total energy = -20.39 eV per cell

a b c (Å): 4.0681 5.8843 4.0681
angles (deg): 90.00 90.00 90.00
With the nearest neighbours (Å) after each atom.
Element x y z (fractional)
1 F 0.5000 0.0000 0.0000  2 Pt 2.03
2 F 0.0000 0.0000 0.5000  2 Pt 2.03
3 Fe 0.0000 0.5000 0.0000  4 Te 2.88, 2 Pt 2.94
4 Te 0.5000 0.5000 0.5000  4 Fe 2.88
5 Pt 0.0000 0.0000 0.0000  4 F 2.03


# TiFe2PtF

TiFe2PtF after structural relaxation (PBE+U, Alexandria).

## Properties
ρ = 7.066 g/cm3
calculated total energy = -26.01 eV per cell

a b c (Å): 4.8597 4.8597 3.7179
angles (deg): 90.00 90.00 90.00
With the nearest neighbours (Å) after each atom.
Element x y z (fractional)
1 Ti 0.0000 0.0000 0.0000  2 F 1.86
2 Pt 0.5000 0.5000 0.5000  8 Fe 3.06
3 F 0.0000 0.0000 0.5000  2 Ti 1.86
4 Fe 0.5000 0.0000 0.0000  2 Ti 2.43
5 Fe 0.0000 0.5000 0.0000  2 Ti 2.43


# VFePtF2

VFePtF2 after structural relaxation (PBE+U, Alexandria).

## Properties
ρ = 6.103 g/cm3
calculated total energy = -20.61 eV per cell

a b c (Å): 4.2611 5.0932 4.2611
angles (deg): 90.00 90.00 90.00
With the nearest neighbours (Å) after each atom.
Element x y z (fractional)
1 V 0.0000 0.5000 0.0000  2 Pt 2.55
2 Pt 0.0000 0.0000 0.0000  4 F 2.13
3 F 0.0000 0.0000 0.5000  2 Pt 2.13
4 F 0.5000 0.0000 0.0000  2 Pt 2.13
5 Fe 0.5000 0.5000 0.5000  4 V 3.01, 8 F 3.32


# PuFe2F11

PuFe2F11 after structural relaxation (PBE+U, Alexandria).

## Properties
ρ = 4.957 g/cm3
calculated total energy = -164.62 eV per cell

a b c (Å): 7.3571 8.0801 8.0801
angles (deg): 72.68 62.92 62.92
With the nearest neighbours (Å) after each atom.
Element x y z (fractional)
1 Pu 0.2500 0.2500 0.2500  8 F 2.19-2.21
2 Pu 0.7500 0.7500 0.7500  8 F 2.19-2.21
3 F 0.2564 0.3307 0.9615  1 Fe 2.05, 1 Pu 2.21
4 F 0.8658 0.9319 0.7967  1 Fe 2.08, 1 Pu 2.19
5 F 0.9056 0.4319 0.2967  1 Fe 2.08, 1 Pu 2.19
6 F 0.8635 0.7747 0.2253  2 Fe 1.94-2.01
7 F 0.3658 0.2967 0.4319  1 Fe 2.08, 1 Pu 2.19
8 F 0.4514 0.9615 0.3307  1 Fe 2.05, 1 Pu 2.21
9 F 0.0944 0.5681 0.7033  1 Fe 2.08, 1 Pu 2.19
10 F 0.9514 0.8307 0.4615  1 Fe 2.05, 1 Pu 2.21
11 F 0.3635 0.7253 0.2747  2 Fe 1.94-2.01
12 F 0.0486 0.1693 0.5385  1 Fe 2.05, 1 Pu 2.21
13 F 0.1365 0.2253 0.7747  2 Fe 1.94-2.01
14 F 0.7436 0.6693 0.0385  1 Fe 2.05, 1 Pu 2.21
15 F 0.5944 0.2033 0.0681  1 Fe 2.08, 1 Pu 2.19
16 F 0.5486 0.0385 0.6693  1 Fe 2.05, 1 Pu 2.21
17 F 0.5000 0.5000 0.5000  2 Fe 1.97
18 F 0.6365 0.2747 0.7253  2 Fe 1.94-2.01
19 F 0.2436 0.5385 0.1693  1 Fe 2.05, 1 Pu 2.21
20 F 0.0000 0.0000 0.0000  2 Fe 1.97
21 F 0.7564 0.4615 0.8307  1 Fe 2.05, 1 Pu 2.21
22 F 0.6342 0.7033 0.5681  1 Fe 2.08, 1 Pu 2.19
23 F 0.4056 0.7967 0.9319  1 Fe 2.08, 1 Pu 2.19
24 F 0.1342 0.0681 0.2033  1 Fe 2.08, 1 Pu 2.19
25 Fe 0.8700 0.1801 0.8199  7 F 1.94-2.08
26 Fe 0.6300 0.6801 0.3199  7 F 1.94-2.08
27 Fe 0.3700 0.3199 0.6801  7 F 1.94-2.08
28 Fe 0.1300 0.8199 0.1801  7 F 1.94-2.08


# PuFeF5

PuFeF5 after structural relaxation (PBE+U, Alexandria).

## Properties
ρ = 5.617 g/cm3
calculated total energy = -102.04 eV per cell

a b c (Å): 5.8214 5.8214 7.9585
angles (deg): 70.10 70.10 72.78
With the nearest neighbours (Å) after each atom.
Element x y z (fractional)
1 Pu 0.4533 0.5467 0.7500  7 F 2.25-2.47
2 Pu 0.5467 0.4533 0.2500  7 F 2.25-2.47
3 F 0.7873 0.7401 0.1236  1 Fe 2.01, 1 Pu 2.25
4 F 0.8942 0.1058 0.2500  2 Fe 2.12
5 F 0.3224 0.6999 0.0288  1 Fe 2.17, 1 Pu 2.37
6 F 0.7401 0.7873 0.6236  1 Fe 2.01, 1 Pu 2.25
7 F 0.2127 0.2599 0.8764  1 Fe 2.01, 1 Pu 2.25
8 F 0.6776 0.3001 0.9712  1 Fe 2.17, 1 Pu 2.37
9 F 0.3001 0.6776 0.4712  1 Fe 2.17, 1 Pu 2.37
10 F 0.6999 0.3224 0.5288  1 Fe 2.17, 1 Pu 2.37
11 F 0.1058 0.8942 0.7500  2 Fe 2.12
12 F 0.2599 0.2127 0.3764  1 Fe 2.01, 1 Pu 2.25
13 Fe 0.0000 0.0000 0.5000  6 F 2.01-2.17
14 Fe 0.0000 0.0000 0.0000  6 F 2.01-2.17


# RbFeF2

RbFeF2 after structural relaxation (PBE+U, Alexandria).

## Properties
ρ = 3.498 g/cm3
calculated total energy = -16.65 eV per cell

a b c (Å): 7.5917 7.5917 7.5917
angles (deg): 27.99 27.99 27.99
With the nearest neighbours (Å) after each atom.
Element x y z (fractional)
1 Fe 0.5000 0.5000 0.5000  6 F 2.29
2 F 0.8729 0.8729 0.8729  3 Fe 2.29
3 F 0.1271 0.1271 0.1271  3 Fe 2.29
4 Rb 0.0000 0.0000 0.0000  2 F 2.78


# RbFe2F2

RbFe2F2 after structural relaxation (PBE+U, Alexandria).

## Properties
ρ = 4.361 g/cm3
calculated total energy = -21.07 eV per cell

a b c (Å): 3.5898 3.5898 7.3980
angles (deg): 75.96 75.96 90.00
With the nearest neighbours (Å) after each atom.
Element x y z (fractional)
1 F 0.6145 0.6145 0.7711  4 Fe 2.60
2 F 0.3855 0.3855 0.2289  4 Fe 2.60
3 Rb 0.0000 0.0000 0.0000  8 F 3.00
4 Fe 0.2500 0.7500 0.5000  4 Fe 2.54, 4 F 2.60
5 Fe 0.7500 0.2500 0.5000  4 Fe 2.54, 4 F 2.60


# Rb3Fe5F12

Rb3Fe5F12 after structural relaxation (PBE+U, Alexandria).

## Properties
ρ = 3.667 g/cm3
calculated total energy = -402.28 eV per cell

a b c (Å): 12.1575 12.1575 12.1575
angles (deg): 109.47 109.47 109.47
With the nearest neighbours (Å) after each atom.
Element x y z (fractional)
1 Fe 0.7500 0.6250 0.3750  4 F 2.03
2 Fe 0.5000 0.0000 0.5000  6 F 2.14
3 Fe 0.3750 0.2500 0.1250  4 F 2.03
4 Fe 0.8750 0.2500 0.6250  4 F 2.03
5 Fe 0.0000 0.5000 0.0000  6 F 2.14
6 Fe 0.5000 0.5000 0.5000  6 F 2.14
7 Fe 0.1250 0.7500 0.3750  4 F 2.03
8 Fe 0.2500 0.3750 0.6250  4 F 2.03
9 Fe 0.0000 0.0000 0.0000  6 F 2.14
10 Fe 0.1250 0.3750 0.2500  4 F 2.03
11 Fe 0.2500 0.8750 0.1250  4 F 2.03
12 Fe 0.3750 0.1250 0.7500  4 F 2.03
13 Fe 0.5000 0.0000 0.0000  6 F 2.14
14 Fe 0.8750 0.6250 0.7500  4 F 2.03
15 Fe 0.7500 0.1250 0.8750  4 F 2.03
16 Fe 0.0000 0.0000 0.5000  6 F 2.14
17 Fe 0.6250 0.7500 0.8750  4 F 2.03
18 Fe 0.5000 0.5000 0.0000  6 F 2.14
19 Fe 0.6250 0.8750 0.2500  4 F 2.03
20 Fe 0.0000 0.5000 0.5000  6 F 2.14
21 Rb 0.6250 0.3750 0.7500  8 F 2.85-2.97
22 Rb 0.8750 0.7500 0.1250  8 F 2.85-2.97
23 Rb 0.3750 0.6250 0.2500  8 F 2.85-2.97
24 Rb 0.8750 0.1250 0.2500  8 F 2.85-2.97
25 Rb 0.2500 0.1250 0.3750  8 F 2.85-2.97
26 Rb 0.1250 0.2500 0.8750  8 F 2.85-2.97
27 Rb 0.2500 0.6250 0.8750  8 F 2.85-2.97
28 Rb 0.6250 0.2500 0.3750  8 F 2.85-2.97
29 Rb 0.7500 0.8750 0.6250  8 F 2.85-2.97
30 Rb 0.3750 0.7500 0.6250  8 F 2.85-2.97
31 Rb 0.7500 0.3750 0.1250  8 F 2.85-2.97
32 Rb 0.1250 0.8750 0.7500  8 F 2.85-2.97
33 F 0.6814 0.1840 0.5839  2 Fe 2.03-2.14
34 F 0.1814 0.0839 0.6840  2 Fe 2.03-2.14
35 F 0.3999 0.4025 0.0839  2 Fe 2.03-2.14
36 F 0.3999 0.9974 0.8160  2 Fe 2.03-2.14
37 F 0.6840 0.1001 0.0026  2 Fe 2.03-2.14
38 F 0.5026 0.3186 0.9025  2 Fe 2.03-2.14
39 F 0.1840 0.5026 0.6001  2 Fe 2.03-2.14
40 F 0.1814 0.0975 0.9974  2 Fe 2.03-2.14
41 F 0.9025 0.8186 0.5026  2 Fe 2.03-2.14
42 F 0.8160 0.3186 0.9161  2 Fe 2.03-2.14
43 F 0.5026 0.1840 0.1001  2 Fe 2.03-2.14
44 F 0.8999 0.3160 0.4974  2 Fe 2.03-2.14
45 F 0.0839 0.9025 0.3999  2 Fe 2.03-2.14
46 F 0.4161 0.3160 0.3186  2 Fe 2.03-2.14
47 F 0.0975 0.9161 0.1001  2 Fe 2.03-2.14
48 F 0.1840 0.6814 0.0839  2 Fe 2.03-2.14
49 F 0.4161 0.1001 0.5975  2 Fe 2.03-2.14
50 F 0.8999 0.5839 0.9025  2 Fe 2.03-2.14
51 F 0.8186 0.9025 0.0026  2 Fe 2.03-2.14
52 F 0.9974 0.5975 0.1814  2 Fe 2.03-2.14
53 F 0.0026 0.6001 0.6840  2 Fe 2.03-2.14
54 F 0.6840 0.5839 0.1814  2 Fe 2.03-2.14
55 F 0.5975 0.9974 0.6814  2 Fe 2.03-2.14
56 F 0.5975 0.6001 0.4161  2 Fe 2.03-2.14
57 F 0.6814 0.4974 0.5975  2 Fe 2.03-2.14
58 F 0.1001 0.6840 0.5026  2 Fe 2.03-2.14
59 F 0.4025 0.0026 0.3186  2 Fe 2.03-2.14
60 F 0.6001 0.0026 0.1840  2 Fe 2.03-2.14
61 F 0.9025 0.0839 0.8999  2 Fe 2.03-2.14
62 F 0.0026 0.4025 0.8186  2 Fe 2.03-2.14
63 F 0.3186 0.5026 0.4025  2 Fe 2.03-2.14
64 F 0.5839 0.6840 0.6814  2 Fe 2.03-2.14
65 F 0.6001 0.5975 0.9161  2 Fe 2.03-2.14
66 F 0.3160 0.4161 0.8186  2 Fe 2.03-2.14
67 F 0.8186 0.9161 0.3160  2 Fe 2.03-2.14
68 F 0.4025 0.3999 0.5839  2 Fe 2.03-2.14
69 F 0.4974 0.6814 0.0975  2 Fe 2.03-2.14
70 F 0.9161 0.0975 0.6001  2 Fe 2.03-2.14
71 F 0.8160 0.4974 0.3999  2 Fe 2.03-2.14
72 F 0.4974 0.8160 0.8999  2 Fe 2.03-2.14
73 F 0.5839 0.8999 0.4025  2 Fe 2.03-2.14
74 F 0.9974 0.3999 0.3160  2 Fe 2.03-2.14
75 F 0.1001 0.4161 0.0975  2 Fe 2.03-2.14
76 F 0.9161 0.8186 0.8160  2 Fe 2.03-2.14
77 F 0.0839 0.1814 0.1840  2 Fe 2.03-2.14
78 F 0.3186 0.8160 0.4161  2 Fe 2.03-2.14
79 F 0.0975 0.1814 0.4974  2 Fe 2.03-2.14
80 F 0.3160 0.8999 0.9974  2 Fe 2.03-2.14


# RbFe2F6

RbFe2F6 after structural relaxation (PBE+U, Alexandria).

## Properties
ρ = 3.694 g/cm3
calculated total energy = -187.40 eV per cell

a b c (Å): 7.1463 7.5658 10.3470
angles (deg): 90.00 90.00 90.00
With the nearest neighbours (Å) after each atom.
Element x y z (fractional)
1 Fe 0.5000 0.0000 0.5000  6 F 1.94-1.99
2 Fe 0.7033 0.7500 0.2313  6 F 2.00-2.16
3 Fe 0.5000 0.5000 0.5000  6 F 1.94-1.99
4 Fe 0.0000 0.5000 0.0000  6 F 1.94-1.99
5 Fe 0.0000 0.0000 0.0000  6 F 1.94-1.99
6 Fe 0.2033 0.7500 0.2687  6 F 2.00-2.16
7 Fe 0.7967 0.2500 0.7313  6 F 2.00-2.16
8 Fe 0.2967 0.2500 0.7687  6 F 2.00-2.16
9 F 0.4336 0.2500 0.4626  2 Fe 1.99
10 F 0.7374 0.0642 0.5797  2 Fe 1.95-2.15
11 F 0.3749 0.4881 0.6664  2 Fe 1.94-2.16
12 F 0.6251 0.9881 0.3336  2 Fe 1.94-2.16
13 F 0.9336 0.2500 0.0374  2 Fe 1.99
14 F 0.8749 0.0119 0.8336  2 Fe 1.94-2.16
15 F 0.8749 0.4881 0.8336  2 Fe 1.94-2.16
16 F 0.5637 0.2500 0.8382  2 Fe 2.00-2.04
17 F 0.6251 0.5119 0.3336  2 Fe 1.94-2.16
18 F 0.2374 0.0642 0.9203  2 Fe 1.95-2.15
19 F 0.7374 0.4358 0.5797  2 Fe 1.95-2.15
20 F 0.0664 0.7500 0.9626  2 Fe 1.99
21 F 0.4363 0.7500 0.1618  2 Fe 2.00-2.04
22 F 0.1251 0.9881 0.1664  2 Fe 1.94-2.16
23 F 0.7626 0.5642 0.0797  2 Fe 1.95-2.15
24 F 0.5664 0.7500 0.5374  2 Fe 1.99
25 F 0.0637 0.2500 0.6618  2 Fe 2.00-2.04
26 F 0.9363 0.7500 0.3382  2 Fe 2.00-2.04
27 F 0.3749 0.0119 0.6664  2 Fe 1.94-2.16
28 F 0.2626 0.9358 0.4203  2 Fe 1.95-2.15
29 F 0.1251 0.5119 0.1664  2 Fe 1.94-2.16
30 F 0.2374 0.4358 0.9203  2 Fe 1.95-2.15
31 F 0.7626 0.9358 0.0797  2 Fe 1.95-2.15
32 F 0.2626 0.5642 0.4203  2 Fe 1.95-2.15
33 Rb 0.9983 0.2500 0.3808  8 F 2.94-3.22
34 Rb 0.5017 0.7500 0.8808  8 F 2.94-3.22
35 Rb 0.0017 0.7500 0.6192  8 F 2.94-3.22
36 Rb 0.4983 0.2500 0.1192  8 F 2.94-3.22


# RbFe3F9

RbFe3F9 after structural relaxation (PBE+U, Alexandria).

## Properties
ρ = 3.551 g/cm3
calculated total energy = -67.52 eV per cell

a b c (Å): 3.9570 7.6065 7.6065
angles (deg): 120.00 90.00 90.00
With the nearest neighbours (Å) after each atom.
Element x y z (fractional)
1 F 0.0000 0.5000 0.0000  2 Fe 1.98
2 F 0.5000 0.2038 0.7962  2 Fe 2.00
3 F 0.0000 0.5000 0.5000  2 Fe 1.98
4 F 0.5000 0.5925 0.7962  2 Fe 2.00
5 F 0.5000 0.7962 0.2038  2 Fe 2.00
6 F 0.5000 0.7962 0.5925  2 Fe 2.00
7 F 0.0000 0.0000 0.5000  2 Fe 1.98
8 F 0.5000 0.4075 0.2038  2 Fe 2.00
9 F 0.5000 0.2038 0.4075  2 Fe 2.00
10 Fe 0.5000 0.5000 0.5000  6 F 1.98-2.00
11 Fe 0.5000 0.0000 0.5000  6 F 1.98-2.00
12 Fe 0.5000 0.5000 0.0000  6 F 1.98-2.00
13 Rb 0.0000 0.0000 0.0000  12 F 3.33


# Rb6FeF12

Rb6FeF12 after structural relaxation (PBE+U, Alexandria).

## Properties
ρ = 3.168 g/cm3
calculated total energy = -77.41 eV per cell

a b c (Å): 7.5796 7.5796 7.5796
angles (deg): 98.98 98.98 98.98
With the nearest neighbours (Å) after each atom.
Element x y z (fractional)
1 Fe 0.0000 0.0000 0.0000  6 F 1.98
2 F 0.7419 0.9326 0.0222  1 Fe 1.98
3 F 0.9326 0.0222 0.7419  1 Fe 1.98
4 F 0.5663 0.1231 0.4910  1 F 2.01
5 F 0.5090 0.4337 0.8769  1 F 2.01
6 F 0.2581 0.0674 0.9778  1 Fe 1.98
7 F 0.0222 0.7419 0.9326  1 Fe 1.98
8 F 0.1231 0.4910 0.5663  1 F 2.01
9 F 0.9778 0.2581 0.0674  1 Fe 1.98
10 F 0.0674 0.9778 0.2581  1 Fe 1.98
11 F 0.4910 0.5663 0.1231  1 F 2.01
12 F 0.8769 0.5090 0.4337  1 F 2.01
13 F 0.4337 0.8769 0.5090  1 F 2.01
14 Rb 0.3898 0.7614 0.8399  7 F 2.79-2.97
15 Rb 0.1601 0.6102 0.2386  7 F 2.79-2.97
16 Rb 0.2386 0.1601 0.6102  7 F 2.79-2.97
17 Rb 0.6102 0.2386 0.1601  7 F 2.79-2.97
18 Rb 0.7614 0.8399 0.3898  7 F 2.79-2.97
19 Rb 0.8399 0.3898 0.7614  7 F 2.79-2.97


# RbFeF2

RbFeF2 after structural relaxation (PBE+U, Alexandria).

## Properties
ρ = 4.652 g/cm3
calculated total energy = -16.07 eV per cell

a b c (Å): 4.4899 4.4899 4.4899
angles (deg): 60.00 60.00 60.00
With the nearest neighbours (Å) after each atom.
Element x y z (fractional)
1 Fe 0.0000 0.0000 0.0000  8 F 2.75
2 F 0.2500 0.2500 0.2500  4 Fe 2.75, 4 Rb 2.75
3 F 0.7500 0.7500 0.7500  4 Fe 2.75, 4 Rb 2.75
4 Rb 0.5000 0.5000 0.5000  8 F 2.75